HoCoIrO6: optimized geometry, PBE+U.

Output
* total DFT energy (no corrections): -6.75 eV per atom
* M_tot: 0.141 μB per atom
* D(E_F): 9.69 states/eV/cell

a b c (Å): 5.384 5.384 8.558
angles (deg): 90.00 90.00 120.00
Element x y z (fractional)
Ho  0.333  0.667  0.250
Ho  0.667  0.333  0.750
Co  0.000  0.000  0.000
Co  0.000  0.000  0.500
Ir  0.333  0.667  0.750
Ir  0.667  0.333  0.250
O  0.042  0.363  0.623
O  0.042  0.679  0.877
O  0.321  0.363  0.877
O  0.321  0.958  0.623
O  0.363  0.042  0.123
O  0.363  0.321  0.377
O  0.637  0.679  0.623
O  0.637  0.958  0.877
O  0.679  0.042  0.377
O  0.679  0.637  0.123
O  0.958  0.321  0.123
O  0.958  0.637  0.377